[1]
# SiSbS2Cl, relaxed, DFT PBE
data_SiSbS2Cl
_chemical_formula_sum 'Si1 Sb1 S2 Cl1'
_symmetry_space_group_name_H-M 'P 4/m m m'
_symmetry_Int_Tables_number 123
_symmetry_space_group_name_Hall '-P 4 2'
_cell_length_a 4.696
_cell_length_b 4.696
_cell_length_c 4.538
_cell_angle_alpha 90.00
_cell_angle_beta 90.00
_cell_angle_gamma 90.00
loop_
_atom_site_label
_atom_site_fract_x
_atom_site_fract_y
_atom_site_fract_z
Si1 0.000 0.000 0.000
Sb1 0.500 0.500 0.500
S1 0.000 0.500 0.000
Cl1 0.000 0.000 0.500
# E above lowest polymorph (eV per atom): 0.000
# Energy (eV/atom): -3.88
# Energy relative to the elements, uncorrected (eV per atom): 0.048

=====

[2]
# Eu2LuN, relaxed, DFT PBE
data_Eu2LuN
_chemical_formula_sum 'Eu6 Lu3 N3'
_symmetry_space_group_name_H-M 'R -3 m'
_symmetry_Int_Tables_number 166
_symmetry_space_group_name_Hall '-R 3 2"'
_cell_length_a 3.5415
_cell_length_b 3.5415
_cell_length_c 29.5186
_cell_angle_alpha 90.00
_cell_angle_beta 90.00
_cell_angle_gamma 120.00
loop_
_atom_site_label
_atom_site_fract_x
_atom_site_fract_y
_atom_site_fract_z
Eu1 0.0000 0.0000 0.1189
Lu1 0.0000 0.0000 0.0000
N1 0.0000 0.0000 0.5000
# Energy (eV/atom): -8.74
# Energy relative to the elements, uncorrected (eV per atom): -0.393

=====

[3]
# ZnCd2Ru, relaxed, DFT PBE
data_ZnCd2Ru
_chemical_formula_sum 'Zn4 Cd8 Ru4'
_symmetry_space_group_name_H-M 'F -4 3 m'
_symmetry_Int_Tables_number 216
_symmetry_space_group_name_Hall 'F -4 2 3'
_cell_length_a 6.495
_cell_length_b 6.495
_cell_length_c 6.495
_cell_angle_alpha 90.00
_cell_angle_beta 90.00
_cell_angle_gamma 90.00
loop_
_atom_site_label
_atom_site_fract_x
_atom_site_fract_y
_atom_site_fract_z
Zn1 0.000 0.000 0.000
Cd1 0.000 0.000 0.500
Cd2 0.250 0.250 0.750
Ru1 0.250 0.250 0.250
# Energy (eV/atom): -2.87
# Formation energy (eV per atom): 0.227

=====

[4]
# Sr2MgPtAu6, relaxed, DFT PBE
data_Sr2MgPtAu6
_chemical_formula_sum 'Sr4 Mg2 Pt2 Au12'
_symmetry_space_group_name_H-M 'C 1 2/m 1'
_symmetry_Int_Tables_number 12
_cell_length_a 13.231
_cell_length_b 5.512
_cell_length_c 9.325
_cell_angle_alpha 90.00
_cell_angle_beta 134.24
_cell_angle_gamma 90.00
loop_
_symmetry_equiv_pos_as_xyz
'x,y,z'
'-x,-y,-z'
'-x,y,-z'
'x,-y,z'
'x+1/2,y+1/2,z'
'-x+1/2,-y+1/2,-z'
'-x+1/2,y+1/2,-z'
'x+1/2,-y+1/2,z'
loop_
_atom_site_label
_atom_site_fract_x
_atom_site_fract_y
_atom_site_fract_z
Sr1 0.038 0.000 0.266
Mg1 0.000 0.500 0.500
Pt1 0.000 0.500 0.000
Au1 0.143 0.500 0.891
Au2 0.243 0.246 0.742
# Energy (eV/atom): -3.58
# Formation energy (eV per atom): -0.510

=====

Number 1: mass density 4.14 g/cm3, density of states at the Fermi level 2.376 states/eV per cell. Number 2: mass density 7.66 g/cm3, density of states at the Fermi level 20.154 states/eV per cell. Number 3: mass density 9.49 g/cm3, density of states at the Fermi level 11.291 states/eV per cell. Number 4: mass density 10.75 g/cm3, density of states at the Fermi level 7.656 states/eV per cell.